# NdSm4Ru

A geometry-optimized NdSm4Ru structure (GGA-PBE, Alexandria).

Lattice parameters (Å, degrees): 9.497 9.497 9.497 142.50 133.02 61.59
Element x y z (fractional)
1 Nd 0.200 0.200 0.000
2 Nd 0.800 0.800 0.000
3 Sm 0.142 0.387 0.755
4 Sm 0.208 0.000 0.208
5 Sm 0.330 0.830 0.500
6 Sm 0.368 0.613 0.755
7 Sm 0.632 0.387 0.245
8 Sm 0.670 0.170 0.500
9 Sm 0.792 0.000 0.792
10 Sm 0.858 0.613 0.245
11 Ru 0.500 0.259 0.759
12 Ru 0.500 0.741 0.241

Calculated values
Fermi-level density of states = 1.39 states/eV per atom
calculated volume = 31.4 A^3/atom
mass density = 7458 kg/m³
SG = No. 71
energy of formation = -0.07 eV/atom



# Nd3Sm2Ru2

A geometry-optimized Nd3Sm2Ru2 structure (GGA-PBE, Alexandria).

Lattice parameters (Å, degrees): 6.464 6.464 8.889 112.75 112.75 35.60
Element x y z (fractional)
1 Nd 0.000 0.000 0.000
2 Nd 0.119 0.119 0.425
3 Nd 0.881 0.881 0.575
4 Sm 0.330 0.330 0.190
5 Sm 0.670 0.670 0.810
6 Ru 0.318 0.318 0.770
7 Ru 0.682 0.682 0.230

Calculated values
Fermi-level density of states = 0.78 states/eV per atom
calculated volume = 28.2 A^3/atom
mass density = 7862 kg/m³
SG = No. 12
energy of formation = -0.21 eV/atom



# Nd12SmRu7

A geometry-optimized Nd12SmRu7 structure (GGA-PBE, Alexandria).

Lattice parameters (Å, degrees): 8.955 8.955 8.955 107.09 107.09 107.09
Element x y z (fractional)
1 Nd 0.045 0.345 0.121
2 Nd 0.121 0.045 0.345
3 Nd 0.194 0.730 0.578
4 Nd 0.270 0.422 0.806
5 Nd 0.345 0.121 0.045
6 Nd 0.422 0.806 0.270
7 Nd 0.578 0.194 0.730
8 Nd 0.655 0.879 0.955
9 Nd 0.730 0.578 0.194
10 Nd 0.806 0.270 0.422
11 Nd 0.879 0.955 0.655
12 Nd 0.955 0.655 0.879
13 Sm 0.500 0.500 0.500
14 Ru 0.000 0.000 0.000
15 Ru 0.141 0.379 0.472
16 Ru 0.379 0.472 0.141
17 Ru 0.472 0.141 0.379
18 Ru 0.528 0.859 0.621
19 Ru 0.621 0.528 0.859
20 Ru 0.859 0.621 0.528

Calculated values
Fermi-level density of states = 0.57 states/eV per atom
calculated volume = 29.8 A^3/atom
mass density = 7205 kg/m³
SG = No. 148
energy of formation = -0.07 eV/atom



# NdSm3Ru

A geometry-optimized NdSm3Ru structure (GGA-PBE, Alexandria).

Lattice parameters (Å, degrees): 5.498 5.498 5.498 90.00 90.00 90.00
Element x y z (fractional)
1 Nd 0.000 0.000 0.000
2 Sm 0.000 0.500 0.500
3 Sm 0.500 0.000 0.500
4 Sm 0.500 0.500 0.000
5 Ru 0.500 0.500 0.500

Calculated values
Fermi-level density of states = 1.61 states/eV per atom
calculated volume = 33.2 A^3/atom
mass density = 6958 kg/m³
SG = No. 221
energy of formation = -0.01 eV/atom
relative energy among the computed polymorphs = 0.157 eV/atom



# Nd2SmRu

A geometry-optimized Nd2SmRu structure (GGA-PBE, Alexandria).

Lattice parameters (Å, degrees): 7.401 9.736 6.457 90.00 90.00 90.00
Element x y z (fractional)
1 Nd 0.176 0.067 0.171
2 Nd 0.176 0.433 0.171
3 Nd 0.324 0.567 0.671
4 Nd 0.324 0.933 0.671
5 Nd 0.676 0.067 0.329
6 Nd 0.676 0.433 0.329
7 Nd 0.824 0.567 0.829
8 Nd 0.824 0.933 0.829
9 Sm 0.043 0.250 0.645
10 Sm 0.457 0.750 0.145
11 Sm 0.543 0.250 0.855
12 Sm 0.957 0.750 0.355
13 Ru 0.115 0.750 0.951
14 Ru 0.385 0.250 0.451
15 Ru 0.615 0.750 0.549
16 Ru 0.885 0.250 0.049

Calculated values
Fermi-level density of states = 0.98 states/eV per atom
calculated volume = 29.1 A^3/atom
mass density = 7708 kg/m³
SG = No. 62
energy of formation = -0.20 eV/atom
relative energy among the computed polymorphs = 0.000 eV/atom



# Nd5Sm3Ru2

A geometry-optimized Nd5Sm3Ru2 structure (GGA-PBE, Alexandria).

Lattice parameters (Å, degrees): 10.116 10.116 10.116 117.72 81.88 132.54
Element x y z (fractional)
1 Nd 0.004 0.250 0.754
2 Nd 0.119 0.239 0.358
3 Nd 0.250 0.250 0.000
4 Nd 0.381 0.739 0.119
5 Nd 0.496 0.250 0.246
6 Nd 0.504 0.750 0.754
7 Nd 0.619 0.261 0.881
8 Nd 0.750 0.750 0.000
9 Nd 0.881 0.761 0.642
10 Nd 0.996 0.750 0.246
11 Sm 0.128 0.760 0.888
12 Sm 0.250 0.750 0.500
13 Sm 0.372 0.260 0.633
14 Sm 0.628 0.740 0.367
15 Sm 0.750 0.250 0.500
16 Sm 0.872 0.240 0.112
17 Ru 0.130 0.500 0.631
18 Ru 0.370 0.000 0.370
19 Ru 0.630 0.000 0.630
20 Ru 0.870 0.500 0.369

Calculated values
Fermi-level density of states = 0.89 states/eV per atom
calculated volume = 32.6 A^3/atom
mass density = 7012 kg/m³
SG = No. 72
energy of formation = -0.06 eV/atom



# Nd8SmRu2

A geometry-optimized Nd8SmRu2 structure (GGA-PBE, Alexandria).

Lattice parameters (Å, degrees): 7.670 7.670 7.423 108.49 108.49 67.80
Element x y z (fractional)
1 Nd 0.080 0.689 0.697
2 Nd 0.169 0.169 0.808
3 Nd 0.311 0.920 0.303
4 Nd 0.378 0.378 0.305
5 Nd 0.622 0.622 0.695
6 Nd 0.689 0.080 0.697
7 Nd 0.831 0.831 0.192
8 Nd 0.920 0.311 0.303
9 Sm 0.500 0.500 0.000
10 Ru 0.306 0.306 0.599
11 Ru 0.694 0.694 0.401

Calculated values
Fermi-level density of states = 0.97 states/eV per atom
calculated volume = 34.0 A^3/atom
mass density = 6695 kg/m³
SG = No. 12
energy of formation = 0.02 eV/atom



# NdSmRu2

A geometry-optimized NdSmRu2 structure (GGA-PBE, Alexandria).

Lattice parameters (Å, degrees): 3.491 3.491 6.982 90.00 90.00 90.00
Element x y z (fractional)
1 Nd 0.000 0.000 0.000
2 Sm 0.000 0.000 0.500
3 Ru 0.500 0.500 0.253
4 Ru 0.500 0.500 0.747

Calculated values
Fermi-level density of states = 1.24 states/eV per atom
calculated volume = 21.3 A^3/atom
mass density = 9696 kg/m³
SG = No. 123
energy of formation = -0.11 eV/atom



# NdSm3Ru

A geometry-optimized NdSm3Ru structure (GGA-PBE, Alexandria).

Lattice parameters (Å, degrees): 7.418 7.418 8.383 124.23 124.23 71.22
Element x y z (fractional)
1 Nd 0.052 0.052 0.344
2 Nd 0.948 0.948 0.656
3 Sm 0.051 0.451 0.206
4 Sm 0.449 0.449 0.745
5 Sm 0.451 0.051 0.206
6 Sm 0.549 0.949 0.794
7 Sm 0.551 0.551 0.255
8 Sm 0.949 0.549 0.794
9 Ru 0.251 0.251 0.882
10 Ru 0.749 0.749 0.118

Calculated values
Fermi-level density of states = 0.97 states/eV per atom
calculated volume = 31.5 A^3/atom
mass density = 7336 kg/m³
SG = No. 12
energy of formation = -0.16 eV/atom
relative energy among the computed polymorphs = 0.000 eV/atom



# NdSm2Ru

A geometry-optimized NdSm2Ru structure (GGA-PBE, Alexandria).

Lattice parameters (Å, degrees): 6.452 6.452 9.443 90.00 90.00 144.14
Element x y z (fractional)
1 Nd 0.079 0.921 0.750
2 Nd 0.921 0.079 0.250
3 Sm 0.357 0.643 0.570
4 Sm 0.357 0.643 0.930
5 Sm 0.643 0.357 0.070
6 Sm 0.643 0.357 0.430
7 Ru 0.253 0.747 0.250
8 Ru 0.747 0.253 0.750

Calculated values
Fermi-level density of states = 0.92 states/eV per atom
calculated volume = 28.8 A^3/atom
mass density = 7874 kg/m³
SG = No. 63
energy of formation = -0.20 eV/atom
relative energy among the computed polymorphs = 0.019 eV/atom